1.
Here is an optimized crystal structure of Li2NiHg from Alexandria. Energies are from PBE-GGA.

Cell: 3.207 3.207 5.979 Å, 90.00 90.00 90.00°
Fractional coordinates of all 4 atoms:
Li  0.000  0.000  0.000
Li  0.500  0.500  0.267
Ni  0.000  0.000  0.473
Hg  0.500  0.500  0.731

Summary:
VASP energy: -2.51 eV per atom
ΔH_f (0 K): -0.027 eV/atom
N(E_F): 0.60 states/eV per atom
M_tot: 0.0 μB per cell
Symmetry: P4mm, No. 99



2.
Here is an optimized crystal structure of LiNiHg3 from Alexandria. Energies are from PBE-GGA.

Cell: 5.030 5.030 5.030 Å, 90.00 90.00 90.00°
Fractional coordinates of all 5 atoms:
Li  0.000  0.000  0.000
Ni  0.500  0.500  0.500
Hg  0.000  0.500  0.500
Hg  0.500  0.000  0.500
Hg  0.500  0.500  0.000

Summary:
VASP energy: -1.67 eV per atom
ΔE to the lowest computed polymorph: 0.00 eV per formula unit
ΔH_f (0 K): 0.054 eV/atom
N(E_F): 0.50 states/eV per atom
M_tot: 0.0 μB per cell
Symmetry: Pm-3m, No. 221



3.
Here is an optimized crystal structure of LiNiHg from Alexandria. Energies are from PBE-GGA.

Cell: 4.279 4.279 2.819 Å, 90.00 90.00 120.00°
Fractional coordinates of all 3 atoms:
Li  0.000  0.000  0.000
Ni  0.333  0.667  0.168
Hg  0.667  0.333  0.605

Summary:
VASP energy: -2.67 eV per atom
ΔE to the lowest computed polymorph: 0.05 eV per formula unit
ΔH_f (0 K): -0.005 eV/atom
N(E_F): 0.28 states/eV per atom
M_tot: 0.0 μB per cell
Symmetry: P3m1, No. 156



4.
Here is an optimized crystal structure of Li2NiHg from Alexandria. Energies are from PBE-GGA.

Cell: 8.814 8.814 8.814 Å, 19.18 19.18 19.18°
Fractional coordinates of all 4 atoms:
Li  0.240  0.240  0.240
Li  0.760  0.760  0.760
Ni  0.500  0.500  0.500
Hg  0.000  0.000  0.000

Summary:
VASP energy: -2.45 eV per atom
ΔH_f (0 K): 0.032 eV/atom
N(E_F): 0.39 states/eV per atom
M_tot: 0.0 μB per cell
Symmetry: R-3m, No. 166



5.
Here is an optimized crystal structure of Li2NiHg from Alexandria. Energies are from PBE-GGA.

Cell: 4.488 4.488 3.063 Å, 90.00 90.00 105.69°
Fractional coordinates of all 4 atoms:
Li  0.000  0.500  0.000
Li  0.500  0.000  0.000
Ni  0.000  0.000  0.500
Hg  0.500  0.500  0.500

Summary:
VASP energy: -2.55 eV per atom
ΔH_f (0 K): -0.074 eV/atom
N(E_F): 0.42 states/eV per atom
M_tot: 0.0 μB per cell
Symmetry: Cmmm, No. 65



6.
Here is an optimized crystal structure of Li2NiHg from Alexandria. Energies are from PBE-GGA.

Cell: 9.626 9.626 9.626 Å, 157.61 157.61 31.87°
Fractional coordinates of all 8 atoms:
Li  0.110  0.625  0.985
Li  0.375  0.360  0.485
Li  0.640  0.125  0.015
Li  0.875  0.890  0.515
Ni  0.000  0.000  0.000
Ni  0.750  0.250  0.500
Hg  0.250  0.750  0.500
Hg  0.500  0.500  0.000

Summary:
VASP energy: -2.43 eV per atom
ΔH_f (0 K): 0.043 eV/atom
N(E_F): 0.43 states/eV per atom
M_tot: 0.0 μB per cell
Symmetry: I-42d, No. 122



7.
Here is an optimized crystal structure of Li12NiHg3 from Alexandria. Energies are from PBE-GGA.

Cell: 4.063 4.063 16.282 Å, 90.00 90.00 90.00°
Fractional coordinates of all 16 atoms:
Li  0.000  0.000  0.000
Li  0.000  0.000  0.239
Li  0.000  0.000  0.500
Li  0.000  0.000  0.761
Li  0.000  0.500  0.109
Li  0.000  0.500  0.369
Li  0.000  0.500  0.631
Li  0.000  0.500  0.891
Li  0.500  0.000  0.109
Li  0.500  0.000  0.369
Li  0.500  0.000  0.631
Li  0.500  0.000  0.891
Ni  0.500  0.500  0.000
Hg  0.500  0.500  0.238
Hg  0.500  0.500  0.500
Hg  0.500  0.500  0.762

Summary:
VASP energy: -2.02 eV per atom
ΔH_f (0 K): -0.165 eV/atom
N(E_F): 0.38 states/eV per atom
M_tot: 0.0 μB per cell
Symmetry: P4/mmm, No. 123



8.
Here is an optimized crystal structure of Li2NiHg4 from Alexandria. Energies are from PBE-GGA.

Cell: 5.587 5.587 5.587 Å, 112.01 112.01 104.50°
Fractional coordinates of all 7 atoms:
Li  0.000  0.500  0.500
Li  0.500  0.000  0.500
Ni  0.000  0.000  0.000
Hg  0.000  0.000  0.500
Hg  0.000  0.500  0.000
Hg  0.500  0.000  0.000
Hg  0.500  0.500  0.500

Summary:
VASP energy: -1.68 eV per atom
ΔH_f (0 K): -0.134 eV/atom
N(E_F): 0.66 states/eV per atom
M_tot: 0.0 μB per cell
Symmetry: I4/mmm, No. 139